# GGA+U K3Fe2F7, relaxed
data_K3Fe2F7
_cell_length_a 11.192
_cell_length_b 11.192
_cell_length_c 4.031
_cell_angle_alpha 90.00
_cell_angle_beta 90.00
_cell_angle_gamma 158.04
_symmetry_space_group_name_H-M 'P 1'
_symmetry_Int_Tables_number 1
loop_
_symmetry_equiv_pos_as_xyz
'x,y,z'
loop_
_atom_site_label
_atom_site_fract_x
_atom_site_fract_y
_atom_site_fract_z
K1 0.000 0.000 0.000
K2 0.186 0.814 0.000
K3 0.814 0.186 0.000
Fe1 0.403 0.597 0.500
Fe2 0.597 0.403 0.500
F1 0.096 0.904 0.500
F2 0.307 0.693 0.500
F3 0.404 0.596 0.000
F4 0.500 0.500 0.500
F5 0.596 0.404 0.000
F6 0.693 0.307 0.500
F7 0.904 0.096 0.500
# - DFT total energy: -4.93 eV/atom
# - Magnetic moment: 8.000 μB per formula unit
# - Theoretical density: 3.18 Mg/m³